{"formula": "Tb2LuSc", "functional": "PBE-GGA", "state": "relaxed", "lattice_angstrom": [[-0.827, 3.059, 1.421], [-2.083, 0.118, 2.776], [7.941, 0.349, 8.114]], "species": ["Sc", "Lu", "Tb", "Tb"], "frac_coords": [[0.000, 0.000, 0.000], [0.500, 0.500, 0.500], [0.748, 0.748, 0.757], [0.252, 0.252, 0.243]], "vol_a3_per_atom": 29.19, "dos_at_fermi_per_ev_fu": 5.53, "energy_ev_per_atom": -4.9837, "ef_ev_per_atom": 0.045, "m_tot_mub_per_cell": 0.00, "space_group": "No. 166", "polymorph_energy_mev_per_atom": 4.1}